No. 1
Material: Ta2S
Method: DFT, GGA-PBE
State: optimized geometry

Summary:
DFT total energy = -9.618 eV/atom
Theoretical density = 12.73 g cm⁻³
Total magnetic moment = 0.00 Bohr magnetons per cell
Uncorrected formation energy = -0.34 eV per atom
SG = Pmc2_1 (26)

Cell: 3.191 10.138 12.704 Å, 90.00 90.00 90.00°
Atoms (fractional coordinates):
Ta 0.500 0.888 0.845
Ta 0.000 0.350 0.687
Ta 0.000 0.571 0.318
Ta 0.000 0.071 0.682
Ta 0.500 0.097 0.212
Ta 0.500 0.200 0.518
Ta 0.500 0.388 0.155
Ta 0.000 0.951 0.046
Ta 0.000 0.308 0.337
Ta 0.000 0.850 0.313
Ta 0.000 0.451 0.954
Ta 0.000 0.808 0.663
Ta 0.500 0.691 0.001
Ta 0.500 0.597 0.788
Ta 0.500 0.700 0.482
Ta 0.500 0.191 0.999
S 0.500 0.836 0.166
S 0.000 0.081 0.874
S 0.000 0.574 0.625
S 0.500 0.952 0.558
S 0.500 0.452 0.442
S 0.000 0.074 0.375
S 0.500 0.336 0.834
S 0.000 0.581 0.126

***

No. 2
Material: Tb2TaS6
Method: DFT, GGA-PBE
State: optimized geometry

Summary:
DFT total energy = -6.409 eV/atom
Theoretical density = 5.04 g cm⁻³
Total magnetic moment = 0.00 Bohr magnetons per cell
Uncorrected formation energy = -1.31 eV per atom
SG = P4_2/mnm (136)

Cell: 6.225 6.225 11.754 Å, 90.00 90.00 90.00°
Atoms (fractional coordinates):
Ta 0.500 0.500 0.500
Ta 0.000 0.000 0.000
S 0.808 0.192 0.852
S 0.217 0.783 0.500
S 0.308 0.308 0.648
S 0.283 0.283 0.000
S 0.192 0.808 0.852
S 0.192 0.808 0.148
S 0.692 0.692 0.352
S 0.808 0.192 0.148
S 0.717 0.717 0.000
S 0.308 0.308 0.352
S 0.783 0.217 0.500
S 0.692 0.692 0.648
Tb 0.500 0.500 0.830
Tb 0.500 0.500 0.170
Tb 0.000 0.000 0.670
Tb 0.000 0.000 0.330

***

No. 3
Material: TbTa6S8
Method: DFT, GGA-PBE
State: optimized geometry

Summary:
DFT total energy = -8.190 eV/atom
Theoretical density = 8.68 g cm⁻³
Total magnetic moment = 0.00 Bohr magnetons per cell
Uncorrected formation energy = -0.94 eV per atom
SG = R-3 (148)

Cell: 6.601 6.601 6.601 Å, 87.94 87.94 87.94°
Atoms (fractional coordinates):
S 0.242 0.611 0.868
S 0.868 0.242 0.611
S 0.611 0.868 0.242
S 0.230 0.230 0.230
S 0.132 0.758 0.389
S 0.758 0.389 0.132
S 0.389 0.132 0.758
S 0.770 0.770 0.770
Ta 0.202 0.409 0.555
Ta 0.555 0.202 0.409
Ta 0.445 0.798 0.591
Ta 0.409 0.555 0.202
Ta 0.798 0.591 0.445
Ta 0.591 0.445 0.798
Tb 0.000 0.000 0.000

***

No. 4
Material: TbTaS4
Method: DFT, GGA-PBE
State: optimized geometry

Summary:
DFT total energy = -6.680 eV/atom
Theoretical density = 5.90 g cm⁻³
Total magnetic moment = 0.00 Bohr magnetons per cell
Uncorrected formation energy = -1.18 eV per atom
SG = P2_1/c (14)

Cell: 6.473 6.367 6.465 Å, 90.00 98.27 90.00°
Atoms (fractional coordinates):
Ta 0.500 0.000 0.500
Ta 0.000 0.500 0.500
S 0.387 0.859 0.164
S 0.887 0.641 0.164
S 0.613 0.141 0.836
S 0.802 0.171 0.366
S 0.302 0.329 0.366
S 0.198 0.829 0.634
S 0.113 0.359 0.836
S 0.698 0.671 0.634
Tb 0.500 0.500 0.000
Tb 0.000 0.000 0.000

***

No. 5
Material: TbTa4S8
Method: DFT, GGA-PBE
State: optimized geometry

Summary:
DFT total energy = -7.708 eV/atom
Theoretical density = 7.09 g cm⁻³
Total magnetic moment = 0.00 Bohr magnetons per cell
Uncorrected formation energy = -1.16 eV per atom
SG = R-3m (166)

Cell: 6.812 6.812 7.715 Å, 90.00 116.20 120.00°
Atoms (fractional coordinates):
Ta 0.000 0.500 0.000
Ta 0.500 0.000 0.000
Ta 0.500 0.500 0.000
Ta 0.000 0.000 0.000
Tb 0.000 0.500 0.500
S 0.480 0.240 0.234
S 0.994 0.754 0.234
S 0.486 0.743 0.229
S 0.994 0.240 0.234
S 0.520 0.760 0.766
S 0.006 0.246 0.766
S 0.006 0.760 0.766
S 0.514 0.257 0.771

***

No. 6
Material: TbTa2S6
Method: DFT, GGA-PBE
State: optimized geometry

Summary:
DFT total energy = -7.019 eV/atom
Theoretical density = 5.64 g cm⁻³
Total magnetic moment = 0.00 Bohr magnetons per cell
Uncorrected formation energy = -1.12 eV per atom
SG = C2/m (12)

Cell: 4.827 6.315 8.065 Å, 70.49 72.58 67.53°
Atoms (fractional coordinates):
S 0.308 0.286 0.099
S 0.980 0.850 0.190
S 0.020 0.150 0.810
S 0.692 0.714 0.901
S 0.650 0.313 0.387
S 0.350 0.687 0.613
Ta 0.190 0.699 0.921
Ta 0.810 0.301 0.079
Tb 0.000 0.500 0.500

***

No. 7
Material: Tb2TaS5
Method: DFT, GGA-PBE
State: optimized geometry

Summary:
DFT total energy = -6.706 eV/atom
Theoretical density = 5.15 g cm⁻³
Total magnetic moment = 2.03 Bohr magnetons per cell
Uncorrected formation energy = -1.49 eV per atom
SG = Cmcm (63)

Cell: 5.157 7.054 12.561 Å, 90.00 90.00 111.44°
Last column: magnetic moment on the atom in μB.
Atoms (fractional coordinates):
Ta 0.187 0.374 0.250  0.64
Ta 0.813 0.626 0.750  0.64
Tb 0.854 0.707 0.063  0.05
Tb 0.146 0.293 0.563  0.05
Tb 0.854 0.707 0.437  0.05
Tb 0.146 0.293 0.937  0.05
S 0.305 0.611 0.090  0.00
S 0.049 0.098 0.124  -0.01
S 0.305 0.611 0.410  0.00
S 0.049 0.098 0.376  -0.01
S 0.695 0.389 0.910  0.00
S 0.951 0.902 0.876  -0.01
S 0.951 0.902 0.624  -0.01
S 0.273 0.546 0.750  -0.02
S 0.695 0.389 0.590  0.00
S 0.727 0.454 0.250  -0.02

***

No. 8
Material: TaTcS4
Method: DFT, GGA-PBE
State: optimized geometry

Summary:
DFT total energy = -7.093 eV/atom
Theoretical density = 6.39 g cm⁻³
Total magnetic moment = 0.00 Bohr magnetons per cell
Uncorrected formation energy = -0.64 eV per atom
SG = P2_1/c (14)

Cell: 5.373 6.860 6.891 Å, 123.58 90.00 90.00°
Atoms (fractional coordinates):
S 0.789 0.177 0.829
S 0.289 0.323 0.171
S 0.789 0.674 0.318
S 0.289 0.826 0.682
S 0.211 0.326 0.682
S 0.211 0.823 0.171
S 0.711 0.174 0.318
S 0.711 0.677 0.829
Ta 0.500 0.000 0.500
Ta 0.000 0.500 0.500
Tc 0.500 0.500 0.000
Tc 0.000 0.000 0.000